VASP calculation (PBE) on a relaxed structure of ZrNb2Ag.

Results
Magnetic moment = 0.00 μB/cell
Space-group type = Fm-3m, No. 225
Energy relative to the elements = 0.3362 eV/atom

a b c (Å): 4.755 4.755 4.755
angles (deg): 60.00 60.00 60.00
Atoms (fractional coordinates):
Ag 0.500 0.500 0.500
Nb 0.250 0.250 0.250
Zr 0.000 0.000 0.000
Nb 0.750 0.750 0.750

***

VASP calculation (PBE) on a relaxed structure of Cu8Ni2Pd3.

Results
Magnetic moment = 0.00 μB/cell
Space-group type = R-3m, No. 166
Energy relative to the elements = 0.1470 eV/atom

a b c (Å): 4.674 4.674 9.601
angles (deg): 75.91 75.91 60.00
Atoms (fractional coordinates):
Cu 0.734 0.233 0.299
Pd 0.817 0.817 0.549
Cu 0.233 0.734 0.299
Pd 0.000 0.000 0.000
Ni 0.641 0.641 0.078
Pd 0.183 0.183 0.451
Cu 0.266 0.767 0.701
Cu 0.266 0.266 0.701
Cu 0.767 0.266 0.701
Cu 0.724 0.724 0.828
Cu 0.276 0.276 0.172
Cu 0.734 0.734 0.299
Ni 0.359 0.359 0.922

***

VASP calculation (PBE) on a relaxed structure of SmSiRh2.

Results
Magnetic moment = 0.00 μB/cell
Space-group type = R-3m, No. 166
Uncorrected formation energy = -324 kJ/mol of formula units

a b c (Å): 4.123 4.123 5.541
angles (deg): 68.16 68.16 60.00
Atoms (fractional coordinates):
Rh 0.211 0.211 0.366
Si 0.500 0.500 0.500
Rh 0.789 0.789 0.634
Sm 0.000 0.000 0.000

***

VASP calculation (PBE) on a relaxed structure of AlCo5Tc2B2.

Results
Magnetic moment = 9.20 μB/cell
Space-group type = P4/mbm, No. 127
Energy relative to the elements = -0.2446 eV/atom

a b c (Å): 2.771 8.709 8.709
angles (deg): 90.00 90.00 90.00
Each line ends with the local moment (μB).
Atoms (fractional coordinates):
Al 0.000 0.500 0.500  -0.02
Co 0.500 0.500 0.000  0.66
Al 0.000 0.000 0.000  -0.02
Co 0.500 0.563 0.719  0.83
B 0.000 0.376 0.124  -0.04
Co 0.500 0.000 0.500  0.66
B 0.000 0.876 0.376  -0.04
Co 0.500 0.063 0.781  0.83
Co 0.500 0.781 0.937  0.83
Tc 0.000 0.320 0.820  0.40
Co 0.500 0.719 0.437  0.83
B 0.000 0.624 0.876  -0.04
Co 0.500 0.937 0.219  0.83
Tc 0.000 0.180 0.320  0.40
Tc 0.000 0.680 0.180  0.40
Co 0.500 0.437 0.281  0.83
B 0.000 0.124 0.624  -0.04
Co 0.500 0.281 0.563  0.83
Tc 0.000 0.820 0.680  0.40
Co 0.500 0.219 0.063  0.83

***

VASP calculation (PBE) on a relaxed structure of Fe2AgPt.

Results
Magnetic moment = 6.07 μB/cell
Space-group type = Imm2, No. 44
Energy relative to the elements = 0.1036 eV/atom

a b c (Å): 5.223 5.223 5.223
angles (deg): 148.17 128.74 61.61
Each line ends with the local moment (μB).
Atoms (fractional coordinates):
Fe 0.236 0.736 0.500  2.87
Pt 0.484 0.484 0.000  0.33
Ag 0.760 0.260 0.500  0.02
Fe 0.019 0.019 0.000  2.86

***

VASP calculation (PBE) on a relaxed structure of PmNdFeC.

Results
Magnetic moment = 0.00 μB/cell
Space-group type = P4/nmm, No. 129
Energy relative to the elements = 0.4835 eV/atom

a b c (Å): 3.791 3.791 11.245
angles (deg): 90.00 90.00 90.00
Atoms (fractional coordinates):
Nd 0.250 0.750 0.500
Fe 0.750 0.250 0.000
Pm 0.250 0.250 0.805
C 0.250 0.250 0.070
Fe 0.250 0.750 0.000
Nd 0.750 0.250 0.500
C 0.750 0.750 0.930
Pm 0.750 0.750 0.195

***

VASP calculation (PBE) on a relaxed structure of Na8Tl3Hg2.

Results
Magnetic moment = 0.00 μB/cell
Space-group type = C2/m, No. 12
Energy relative to the elements = -0.1051 eV/atom

a b c (Å): 5.687 8.485 8.485
angles (deg): 82.88 74.20 74.20
Atoms (fractional coordinates):
Hg 0.637 0.696 0.696
Na 0.208 0.570 0.570
Na 0.652 0.072 0.601
Na 0.348 0.399 0.928
Na 0.348 0.928 0.399
Na 0.792 0.430 0.430
Na 0.652 0.601 0.072
Tl 0.500 0.000 0.000
Na 0.089 0.855 0.855
Tl 0.000 0.749 0.251
Hg 0.363 0.304 0.304
Na 0.911 0.145 0.145
Tl 0.000 0.251 0.749

***

VASP calculation (PBE) on a relaxed structure of LiTcRu2.

Results
Magnetic moment = 0.00 μB/cell
Space-group type = C2/m, No. 12
Energy relative to the elements = 0.2034 eV/atom

a b c (Å): 4.407 4.407 4.857
angles (deg): 86.14 86.14 35.43
Atoms (fractional coordinates):
Li 0.250 0.250 0.250
Ru 0.499 0.499 0.488
Ru 0.001 0.001 0.012
Tc 0.750 0.750 0.750

***

VASP calculation (PBE) on a relaxed structure of Ba2Na3Au3.

Results
Magnetic moment = 0.00 μB/cell
Space-group type = P6_3/mcm, No. 193
Energy relative to the elements = -0.4347 eV/atom

a b c (Å): 8.473 8.629 8.629
angles (deg): 60.00 90.00 90.00
Atoms (fractional coordinates):
Au 0.250 0.000 0.407
Na 0.750 0.767 0.000
Na 0.750 0.233 0.767
Ba 0.000 0.667 0.667
Na 0.250 0.233 0.000
Na 0.750 0.000 0.233
Au 0.250 0.593 0.000
Ba 0.500 0.667 0.667
Au 0.250 0.407 0.593
Ba 0.500 0.333 0.333
Ba 0.000 0.333 0.333
Au 0.750 0.407 0.000
Na 0.250 0.000 0.767
Au 0.750 0.000 0.593
Au 0.750 0.593 0.407
Na 0.250 0.767 0.233

***

Copy entry 9 word for word.
VASP calculation (PBE) on a relaxed structure of Ba2Na3Au3.

Results
Magnetic moment = 0.00 μB/cell
Space-group type = P6_3/mcm, No. 193
Energy relative to the elements = -0.4347 eV/atom

a b c (Å): 8.473 8.629 8.629
angles (deg): 60.00 90.00 90.00
Atoms (fractional coordinates):
Au 0.250 0.000 0.407
Na 0.750 0.767 0.000
Na 0.750 0.233 0.767
Ba 0.000 0.667 0.667
Na 0.250 0.233 0.000
Na 0.750 0.000 0.233
Au 0.250 0.593 0.000
Ba 0.500 0.667 0.667
Au 0.250 0.407 0.593
Ba 0.500 0.333 0.333
Ba 0.000 0.333 0.333
Au 0.750 0.407 0.000
Na 0.250 0.000 0.767
Au 0.750 0.000 0.593
Au 0.750 0.593 0.407
Na 0.250 0.767 0.233

***

Question: Which formula does entry 9 have?
Answer: Ba2Na3Au3

***

Question: What is the formula in the ninth record?
Answer: Ba2Na3Au3

***

Question: Which value of magnetic moment does entry 8 give?
Answer: 0.00 μB/cell